(1)
Density functional theory data (PBE) for a relaxed structure of HoEr4Se5.

* Fermi-level density of states: 9.356 states/eV per cell
* formation energy without anion corrections: -1.697 eV per atom

abc: 9.021 9.021 5.727
angles: 90.00 90.00 90.00
Space group I4/m (No. 87)
Asymmetric unit:
Ho1 0.000 0.000 0.000 [2 per cell]
Er1 0.101 0.299 0.500 [8 per cell]
Se1 0.000 0.000 0.500 [2 per cell]
Se2 0.100 0.301 0.000 [8 per cell]

(2)
Density functional theory data (PBE) for a relaxed structure of PaTi2As.

* DFT total energy: -0.5481 Ry/atom
* Fermi-level density of states: 15.246 states/eV per cell

abc: 3.2051 3.2051 26.9254
angles: 90.00 90.00 120.00
Space group R-3m (No. 166, hexagonal axes)
Asymmetric unit:
Pa1 0.0000 0.0000 0.0000 [3 per cell]
Ti1 0.0000 0.0000 0.1025 [6 per cell]
As1 0.0000 0.0000 0.5000 [3 per cell]

(3)
Density functional theory data (PBE) for a relaxed structure of Nb2AlRu2.

* DFT total energy: -0.6153 Ry/atom
* Fermi-level density of states: 6.361 states/eV per cell

abc: 4.289 4.289 10.388
angles: 90.00 90.00 90.00
Space group I4/mmm (No. 139)
Asymmetric unit:
Nb1 0.000 0.500 0.250 [4 per cell]
Al1 0.000 0.000 0.000 [2 per cell]
Ru1 0.000 0.000 0.384 [4 per cell]

(4)
Density functional theory data (PBE) for a relaxed structure of Li3VZn.

* DFT total energy: -0.1646 Ry/atom
* Fermi-level density of states: 3.450 states/eV per cell

abc: 4.907 4.907 4.907
angles: 90.00 90.00 90.00
Space group Pm-3m (No. 221)
Asymmetric unit:
Li1 0.000 0.000 0.500 [3 per cell]
V1 0.000 0.000 0.000 [1 per cell]
Zn1 0.500 0.500 0.500 [1 per cell]

(5)
Density functional theory data (PBE) for a relaxed structure of SrSmCu2O5.

* Fermi-level density of states: 4.349 states/eV per cell
* formation energy without anion corrections: -1.842 eV per atom

abc: 3.872 3.872 7.559
angles: 90.00 90.00 90.00
Space group P4/mmm (No. 123)
Asymmetric unit:
Sr1 0.000 0.000 0.000 [1 per cell]
Sm1 0.000 0.000 0.500 [1 per cell]
Cu1 0.500 0.500 0.262 [2 per cell]
O1 0.000 0.500 0.303 [4 per cell]
O2 0.500 0.500 0.000 [1 per cell]

(6)
Density functional theory data (PBE) for a relaxed structure of Li3ClO.

* Fermi-level density of states: 0.000 states/eV per cell
* formation energy without anion corrections: -1.193 eV per atom

abc: 3.528 3.528 21.847
angles: 90.00 90.00 90.00
Space group I-4m2 (No. 119)
Asymmetric unit:
Li1 0.000 0.000 0.183 [4 per cell]
Li2 0.000 0.236 0.598 [8 per cell]
Cl1 0.000 0.000 0.500 [2 per cell]
Cl2 0.000 0.500 0.750 [2 per cell]
O1 0.000 0.500 0.126 [4 per cell]